# 1
Below is a relaxed RbBa2AcTe4 crystal, with properties calculated at the PBE-GGA level. Values from VASP.

```
&SYSTEM
  ibrav = 0, nat = 8, ntyp = 4
/
ATOMIC_SPECIES
Ba 137.33 Ba.upf
Ac 227.00 Ac.upf
Te 127.60 Te.upf
Rb 85.47 Rb.upf
ATOMIC_POSITIONS crystal
Ba 0.0000 0.0000 0.0000
Ba 0.5000 0.0000 0.5000
Ac 0.0000 0.5000 0.5000
Te 0.5000 0.2613 0.7335
Te 0.5000 0.7387 0.2665
Te 0.0000 0.7495 0.7308
Te 0.0000 0.2505 0.2692
Rb 0.5000 0.5000 0.0000
CELL_PARAMETERS angstrom
-2.9189 4.0085 -0.2959
-1.4697 -0.4506 8.3932
6.0247 4.6919 4.1297
```

Properties
The crystal system is monoclinic. As for the calculated density: 5.23 g/cm³. Its space-group type is P2/m. The value obtained for the energy relative to the elements, uncorrected is -1.588 eV/atom.


# 2
Below is a relaxed RbBa2Ac3Te6 crystal, with properties calculated at the PBE-GGA level. Values from VASP.

```
&SYSTEM
  ibrav = 0, nat = 12, ntyp = 4
/
ATOMIC_SPECIES
Te 127.60 Te.upf
Ac 227.00 Ac.upf
Ba 137.33 Ba.upf
Rb 85.47 Rb.upf
ATOMIC_POSITIONS crystal
Te 0.0037 0.7348 0.0073
Te 0.3276 0.9260 0.6552
Te 0.9963 0.2652 0.9927
Te 0.6724 0.0740 0.3448
Te 0.6639 0.5894 0.3278
Te 0.3361 0.4106 0.6722
Ac 0.1658 0.8310 0.3316
Ac 0.5000 0.5000 0.0000
Ac 0.8342 0.1690 0.6684
Ba 0.1659 0.3307 0.3319
Ba 0.8341 0.6693 0.6681
Rb 0.5000 0.0000 0.0000
CELL_PARAMETERS angstrom
4.8301 0.0000 0.0000
0.0000 9.8850 0.2157
-2.4150 -2.9890 10.2996
```

Properties
The crystal system is monoclinic. As for the calculated density: 6.06 g/cm³. Its space-group type is C2/m. The value obtained for the energy relative to the elements, uncorrected is -1.579 eV/atom.